Entry 1:
A plane-wave DFT calculation with GGA-PBE was carried out for an optimized crystal structure of HoCrBr6.

```
data_HoCrBr6
_chemical_formula_sum 'Ho3 Cr3 Br18'
_cell_length_a 6.7345
_cell_length_b 6.7345
_cell_length_c 18.1775
_cell_angle_alpha 90.00
_cell_angle_beta 90.00
_cell_angle_gamma 120.00
_symmetry_space_group_name_H-M 'R -3'
_symmetry_Int_Tables_number 148
_symmetry_space_group_name_Hall '-R 3'
loop_
_atom_site_label
_atom_site_fract_x
_atom_site_fract_y
_atom_site_fract_z
Ho1 0.0000 0.0000 0.0000
Cr1 0.0000 0.0000 0.5000
Br1 0.0015 0.6911 0.5796
```

Entry 2:
# Zr2TcNi GGA-PBE optimized geometry
# Density of states at the Fermi level, states/eV/cell: 7.82
data_Zr2TcNi
_chemical_formula_sum 'Zr4 Tc2 Ni2'
_cell_length_a 2.834
_cell_length_b 5.039
_cell_length_c 10.135
_cell_angle_alpha 90.00
_cell_angle_beta 90.00
_cell_angle_gamma 90.00
_symmetry_space_group_name_H-M 'I m m m'
_symmetry_Int_Tables_number 71
_symmetry_space_group_name_Hall '-I 2 2'
loop_
_atom_site_label
_atom_site_fract_x
_atom_site_fract_y
_atom_site_fract_z
Zr1 0.000 0.000 0.241
Tc1 0.000 0.000 0.500
Ni1 0.000 0.000 0.000

Entry 3:
# AlPbSe2 GGA-PBE optimized geometry
# Density of states at the Fermi level, states/eV/cell: 10.14
data_AlPbSe2
_chemical_formula_sum 'Al3 Pb3 Se6'
_cell_length_a 4.4991
_cell_length_b 4.4991
_cell_length_c 24.0455
_cell_angle_alpha 90.00
_cell_angle_beta 90.00
_cell_angle_gamma 120.00
_symmetry_space_group_name_H-M 'R -3 m'
_symmetry_Int_Tables_number 166
_symmetry_space_group_name_Hall '-R 3 2"'
loop_
_atom_site_label
_atom_site_fract_x
_atom_site_fract_y
_atom_site_fract_z
Al1 0.0000 0.0000 0.0000
Pb1 0.0000 0.0000 0.5000
Se1 0.0000 0.0000 0.0972

Number 1: total DFT energy (no corrections) -33.86 eV/f.u., calculated volume 713.98 Å³/cell. Number 2: total DFT energy (no corrections) -31.21 eV/f.u., calculated volume 144.74 Å³/cell. Number 3: total DFT energy (no corrections) -14.92 eV/f.u., calculated volume 421.52 Å³/cell.